<A>
Entry from Alexandria via LeMat-Bulk: Ta6Nb2Fe after structural relaxation (GGA-PBE).

Unit cell a=4.792 b=8.422 c=8.422 alpha=109.18 beta=90.00 gamma=90.00
Each line ends with the local moment (μB).
Positions (direct):
Ta1 0.500 0.678 0.511  0.00
Ta2 0.000 0.489 0.322  0.00
Ta3 0.500 0.322 0.489  0.00
Ta4 0.000 0.511 0.678  0.00
Ta5 0.000 0.831 0.399  0.02
Ta6 0.500 0.601 0.170  0.02
Ta7 0.000 0.169 0.601  0.02
Ta8 0.500 0.399 0.830  0.02
Ta9 0.000 0.713 0.047  -0.02
Ta10 0.500 0.953 0.287  -0.02
Ta11 0.000 0.287 0.953  -0.02
Ta12 0.500 0.047 0.713  -0.02
Nb1 0.500 0.730 0.861  -0.04
Nb2 0.000 0.139 0.270  -0.04
Nb3 0.500 0.270 0.139  -0.04
Nb4 0.000 0.861 0.730  -0.04
Fe1 0.250 0.000 0.000  1.03
Fe2 0.750 0.000 0.000  1.03

Values from the calculation:
As for the size of the total moment: 0.1083 μB per atom. As for the volume: 17.83 A^3/atom. As for the space group: Cccm (66).

---

<B>
Entry from Alexandria via LeMat-Bulk: Ta6Nb2Fe after structural relaxation (GGA-PBE).

Unit cell a=2.995 b=7.492 c=8.112 alpha=117.50 beta=90.00 gamma=90.00
Each line ends with the local moment (μB).
Positions (direct):
Ta1 0.500 0.581 0.000  0.00
Ta2 0.500 0.377 0.341  0.00
Ta3 0.500 0.036 0.659  0.00
Ta4 0.000 0.239 0.000  0.00
Ta5 0.000 0.743 0.738  -0.01
Ta6 0.000 0.005 0.262  -0.01
Nb1 0.000 0.351 0.651  0.00
Nb2 0.000 0.700 0.349  0.00
Fe1 0.500 0.967 0.000  0.08

Values from the calculation:
As for the size of the total moment: 0.0062 μB per atom. As for the volume: 17.94 A^3/atom. As for the space group: Amm2 (38).

---

It is <A> that is most stable; the runner-up trails by 22 meV/atom.

---

<A>
Entry from Alexandria via LeMat-Bulk: TbNbFe4 after structural relaxation (GGA-PBE).

Unit cell a=4.997 b=4.997 c=4.997 alpha=60.00 beta=60.00 gamma=60.00
Each line ends with the local moment (μB).
Positions (direct):
Nb1 0.250 0.250 0.250  -0.98
Tb1 0.000 0.000 0.000  -0.42
Fe1 0.624 0.624 0.127  1.94
Fe2 0.624 0.127 0.624  1.94
Fe3 0.624 0.624 0.624  1.94
Fe4 0.127 0.624 0.624  1.94

Values from the calculation:
As for the size of the total moment: 1.0311 μB per atom. As for the volume: 14.71 A^3/atom. As for the space group: F-43m (216).

---

<B>
Entry from Alexandria via LeMat-Bulk: TbNbFe4 after structural relaxation (GGA-PBE).

Unit cell a=4.979 b=4.979 c=8.199 alpha=90.00 beta=90.00 gamma=120.00
Each line ends with the local moment (μB).
Positions (direct):
Tb1 0.667 0.333 0.932  -0.44
Tb2 0.333 0.667 0.068  -0.44
Nb1 0.333 0.667 0.445  -0.54
Nb2 0.667 0.333 0.555  -0.54
Fe1 0.000 0.000 0.500  1.87
Fe2 0.000 0.000 0.000  2.04
Fe3 0.832 0.168 0.266  1.87
Fe4 0.832 0.665 0.266  1.87
Fe5 0.335 0.168 0.266  1.87
Fe6 0.168 0.832 0.734  1.87
Fe7 0.168 0.335 0.734  1.87
Fe8 0.665 0.832 0.734  1.87

Values from the calculation:
As for the size of the total moment: 1.0742 μB per atom. As for the volume: 14.67 A^3/atom. As for the space group: P-3m1 (164).

---

It is <B> that is most stable; the runner-up trails by 23 meV/atom.

---

<A>
Entry from Alexandria via LeMat-Bulk: NbFe2Tc2 after structural relaxation (GGA-PBE).

Unit cell a=7.223 b=7.223 c=2.658 alpha=90.00 beta=90.00 gamma=90.00
Positions (direct):
Nb1 0.000 0.000 0.000
Nb2 0.500 0.500 0.000
Tc1 0.374 0.874 0.000
Tc2 0.874 0.626 0.000
Tc3 0.626 0.126 0.000
Tc4 0.126 0.374 0.000
Fe1 0.170 0.670 0.500
Fe2 0.670 0.830 0.500
Fe3 0.830 0.330 0.500
Fe4 0.330 0.170 0.500

Values from the calculation:
As for the size of the total moment: 0.0069 μB per atom. As for the volume: 13.87 A^3/atom. As for the space group: P4/mbm (127).

---

<B>
Entry from Alexandria via LeMat-Bulk: NbFe2Tc2 after structural relaxation (GGA-PBE).

Unit cell a=7.167 b=7.167 c=2.680 alpha=90.00 beta=90.00 gamma=90.00
Positions (direct):
Nb1 0.000 0.000 0.000
Nb2 0.500 0.500 0.000
Tc1 0.172 0.672 0.500
Tc2 0.672 0.828 0.500
Tc3 0.828 0.328 0.500
Tc4 0.328 0.172 0.500
Fe1 0.379 0.879 0.000
Fe2 0.879 0.621 0.000
Fe3 0.621 0.121 0.000
Fe4 0.121 0.379 0.000

Values from the calculation:
As for the size of the total moment: 0.0000 μB per atom. As for the volume: 13.76 A^3/atom. As for the space group: P4/mbm (127).

---

It is <B> that is most stable; the runner-up trails by 69 meV/atom.

---

<A>
Entry from Alexandria via LeMat-Bulk: Nb3FeTe after structural relaxation (GGA-PBE).

Unit cell a=4.654 b=4.654 c=4.654 alpha=90.00 beta=90.00 gamma=90.00
Positions (direct):
Nb1 0.000 0.500 0.000
Nb2 0.000 0.000 0.500
Nb3 0.500 0.000 0.000
Te1 0.500 0.500 0.500
Fe1 0.000 0.000 0.000

Values from the calculation:
As for the size of the total moment: 0.0000 μB per atom. As for the volume: 20.16 A^3/atom. As for the space group: Pm-3m (221).

---

<B>
Entry from Alexandria via LeMat-Bulk: Nb3FeTe after structural relaxation (GGA-PBE).

Unit cell a=4.978 b=4.978 c=4.978 alpha=90.00 beta=90.00 gamma=90.00
Each line ends with the local moment (μB).
Positions (direct):
Nb1 0.000 0.500 0.000  -0.47
Nb2 0.000 0.000 0.500  -0.40
Nb3 0.500 0.000 0.000  -0.45
Te1 0.000 0.000 0.000  0.00
Fe1 0.500 0.500 0.500  0.19

Values from the calculation:
As for the size of the total moment: 0.2982 μB per atom. As for the volume: 24.68 A^3/atom. As for the space group: Pm-3m (221).

---

It is <A> that is most stable; the runner-up trails by 1423 meV/atom.

---

<A>
Entry from Alexandria via LeMat-Bulk: NbFe3Te after structural relaxation (GGA-PBE).

Unit cell a=4.614 b=4.614 c=4.614 alpha=90.00 beta=90.00 gamma=90.00
Each line ends with the local moment (μB).
Positions (direct):
Nb1 0.000 0.000 0.000  -0.93
Te1 0.500 0.500 0.500  0.02
Fe1 0.000 0.500 0.000  2.11
Fe2 0.000 0.000 0.500  2.14
Fe3 0.500 0.000 0.000  1.84

Values from the calculation:
As for the size of the total moment: 1.0530 μB per atom. As for the volume: 19.64 A^3/atom. As for the space group: Pm-3m (221).

---

<B>
Entry from Alexandria via LeMat-Bulk: NbFe3Te after structural relaxation (GGA-PBE).

Unit cell a=4.593 b=4.593 c=4.593 alpha=90.00 beta=90.00 gamma=90.00
Each line ends with the local moment (μB).
Positions (direct):
Nb1 0.500 0.500 0.500  -1.89
Te1 0.000 0.000 0.000  -0.07
Fe1 0.000 0.500 0.000  2.15
Fe2 0.000 0.000 0.500  2.26
Fe3 0.500 0.000 0.000  2.25

Values from the calculation:
As for the size of the total moment: 0.8276 μB per atom. As for the volume: 19.38 A^3/atom. As for the space group: Pm-3m (221).

---

It is <B> that is most stable; the runner-up trails by 18 meV/atom.

---

<A>
Entry from Alexandria via LeMat-Bulk: Ti3NbFe after structural relaxation (GGA-PBE).

Unit cell a=4.452 b=4.452 c=4.452 alpha=90.00 beta=90.00 gamma=90.00
Positions (direct):
Nb1 0.500 0.500 0.500
Fe1 0.000 0.000 0.000
Ti1 0.000 0.500 0.000
Ti2 0.000 0.000 0.500
Ti3 0.500 0.000 0.000

Values from the calculation:
As for the size of the total moment: 0.0000 μB per atom. As for the volume: 17.65 A^3/atom. As for the space group: Pm-3m (221).

---

<B>
Entry from Alexandria via LeMat-Bulk: Ti3NbFe after structural relaxation (GGA-PBE).

Unit cell a=4.660 b=4.660 c=4.660 alpha=90.00 beta=90.00 gamma=90.00
Positions (direct):
Nb1 0.000 0.000 0.000
Fe1 0.500 0.500 0.500
Ti1 0.000 0.500 0.000
Ti2 0.000 0.000 0.500
Ti3 0.500 0.000 0.000

Values from the calculation:
As for the size of the total moment: 0.0000 μB per atom. As for the volume: 20.24 A^3/atom. As for the space group: Pm-3m (221).

---

<C>
Entry from Alexandria via LeMat-Bulk: Ti3NbFe after structural relaxation (GGA-PBE).

Unit cell a=3.015 b=6.731 c=8.042 alpha=102.24 beta=100.70 gamma=89.98
Positions (direct):
Ti1 0.614 0.937 0.484
Ti2 0.216 0.288 0.691
Ti3 0.413 0.396 0.084
Ti4 0.226 0.734 0.711
Ti5 0.417 0.828 0.091
Ti6 0.604 0.491 0.465
Nb1 0.815 0.064 0.888
Nb2 0.016 0.160 0.287
Fe1 0.014 0.667 0.285
Fe2 0.817 0.557 0.891

Values from the calculation:
As for the size of the total moment: 0.0000 μB per atom. As for the volume: 15.66 A^3/atom. As for the space group: P-1 (2).

---

<D>
Entry from Alexandria via LeMat-Bulk: Ti3NbFe after structural relaxation (GGA-PBE).

Unit cell a=5.161 b=6.617 c=5.376 alpha=113.97 beta=90.00 gamma=105.62
Positions (direct):
Ti1 0.605 0.616 0.808
Ti2 0.155 0.726 0.613
Ti3 0.395 0.384 0.192
Ti4 0.845 0.274 0.387
Ti5 0.155 0.726 0.114
Ti6 0.845 0.274 0.886
Nb1 0.696 0.852 0.426
Nb2 0.304 0.148 0.574
Fe1 0.000 0.000 0.000
Fe2 0.500 0.000 0.000

Values from the calculation:
As for the size of the total moment: 0.0000 μB per atom. As for the volume: 16.03 A^3/atom. As for the space group: C2/m (12).

---

It is <C> that is most stable; the runner-up trails by 32 meV/atom.

---

<A>
Entry from Alexandria via LeMat-Bulk: Ti4NbFe after structural relaxation (GGA-PBE).

Unit cell a=4.426 b=5.201 c=5.297 alpha=64.15 beta=65.30 gamma=64.81
Positions (direct):
Ti1 0.652 0.001 0.695
Ti2 0.348 0.999 0.305
Ti3 0.694 0.446 0.167
Ti4 0.306 0.554 0.833
Nb1 0.000 0.500 0.500
Fe1 0.000 0.000 0.000

Values from the calculation:
As for the size of the total moment: 0.0000 μB per atom. As for the volume: 15.86 A^3/atom. As for the space group: C2/m (12).

---

<B>
Entry from Alexandria via LeMat-Bulk: Ti4NbFe after structural relaxation (GGA-PBE).

Unit cell a=5.542 b=8.957 c=6.560 alpha=133.05 beta=114.99 gamma=90.00
Positions (direct):
Ti1 0.809 0.800 0.618
Ti2 0.184 0.670 0.839
Ti3 0.656 0.670 0.839
Ti4 0.809 0.318 0.618
Ti5 0.191 0.682 0.382
Ti6 0.816 0.330 0.161
Ti7 0.344 0.330 0.161
Ti8 0.191 0.200 0.382
Nb1 0.500 0.000 0.500
Nb2 0.000 0.000 0.500
Fe1 0.500 0.500 0.000
Fe2 0.500 0.000 0.000

Values from the calculation:
As for the size of the total moment: 0.0002 μB per atom. As for the volume: 16.18 A^3/atom. As for the space group: Imma (74).

---

It is <A> that is most stable; the runner-up trails by 223 meV/atom.

---

<A>
Entry from Alexandria via LeMat-Bulk: Nb2TlFe after structural relaxation (GGA-PBE).

Unit cell a=7.419 b=7.419 c=5.907 alpha=51.10 beta=51.10 gamma=90.00
Positions (direct):
Tl1 0.000 0.000 0.000
Tl2 0.750 0.250 0.500
Nb1 0.560 0.125 0.250
Nb2 0.190 0.625 0.250
Nb3 0.375 0.440 0.750
Nb4 0.875 0.810 0.750
Fe1 0.500 0.500 0.000
Fe2 0.250 0.750 0.500

Values from the calculation:
As for the size of the total moment: 0.0000 μB per atom. As for the volume: 18.69 A^3/atom. As for the space group: I-42d (122).

---

<B>
Entry from Alexandria via LeMat-Bulk: Nb2TlFe after structural relaxation (GGA-PBE).

Unit cell a=4.663 b=4.663 c=4.663 alpha=60.00 beta=60.00 gamma=60.00
Each line ends with the local moment (μB).
Positions (direct):
Tl1 0.500 0.500 0.500  0.04
Nb1 0.250 0.250 0.250  -0.12
Nb2 0.750 0.750 0.750  -0.12
Fe1 0.000 0.000 0.000  2.35

Values from the calculation:
As for the size of the total moment: 0.5307 μB per atom. As for the volume: 17.93 A^3/atom. As for the space group: Fm-3m (225).

---

It is <B> that is most stable; the runner-up trails by 89 meV/atom.

---

<A>
Entry from Alexandria via LeMat-Bulk: TmNbFe2 after structural relaxation (GGA-PBE).

Unit cell a=3.123 b=4.472 c=4.472 alpha=90.00 beta=90.00 gamma=90.00
Each line ends with the local moment (μB).
Positions (direct):
Nb1 0.500 0.000 0.000  -0.11
Tm1 0.500 0.500 0.500  -0.07
Fe1 0.000 0.000 0.500  0.19
Fe2 0.000 0.500 0.000  0.19

Values from the calculation:
As for the size of the total moment: 0.0440 μB per atom. As for the volume: 15.62 A^3/atom. As for the space group: P4/mmm (123).

---

<B>
Entry from Alexandria via LeMat-Bulk: TmNbFe2 after structural relaxation (GGA-PBE).

Unit cell a=4.455 b=4.455 c=4.455 alpha=60.00 beta=60.00 gamma=60.00
Each line ends with the local moment (μB).
Positions (direct):
Nb1 0.500 0.500 0.500  -0.12
Tm1 0.000 0.000 0.000  -0.07
Fe1 0.250 0.250 0.250  0.20
Fe2 0.750 0.750 0.750  0.20

Values from the calculation:
As for the size of the total moment: 0.0494 μB per atom. As for the volume: 15.63 A^3/atom. As for the space group: Fm-3m (225).

---

It is <B> that is most stable; the runner-up trails by 20 meV/atom.

---

<A>
Entry from Alexandria via LeMat-Bulk: UNb2Fe after structural relaxation (GGA-PBE).

Unit cell a=4.593 b=4.593 c=4.593 alpha=60.00 beta=60.00 gamma=60.00
Each line ends with the local moment (μB).
Positions (direct):
Nb1 0.250 0.250 0.250  0.00
Nb2 0.750 0.750 0.750  0.00
U1 0.500 0.500 0.500  0.55
Fe1 0.000 0.000 0.000  2.11

Values from the calculation:
As for the size of the total moment: 0.6538 μB per atom. As for the volume: 17.13 A^3/atom. As for the space group: Fm-3m (225).

---

<B>
Entry from Alexandria via LeMat-Bulk: UNb2Fe after structural relaxation (GGA-PBE).

Unit cell a=2.887 b=2.887 c=9.940 alpha=81.65 beta=81.65 gamma=60.00
Each line ends with the local moment (μB).
Positions (direct):
Nb1 0.096 0.096 0.711  -0.13
Nb2 0.904 0.904 0.289  -0.13
U1 0.000 0.000 0.000  0.15
Fe1 0.500 0.500 0.500  1.70

Values from the calculation:
As for the size of the total moment: 0.3938 μB per atom. As for the volume: 17.68 A^3/atom. As for the space group: R-3m (166).

---

<C>
Entry from Alexandria via LeMat-Bulk: UNb2Fe after structural relaxation (GGA-PBE).

Unit cell a=3.226 b=4.652 c=4.652 alpha=90.00 beta=90.00 gamma=90.00
Each line ends with the local moment (μB).
Positions (direct):
Nb1 0.000 0.000 0.500  -0.12
Nb2 0.000 0.500 0.000  -0.12
U1 0.500 0.500 0.500  0.33
Fe1 0.500 0.000 0.000  2.14

Values from the calculation:
As for the size of the total moment: 0.5435 μB per atom. As for the volume: 17.46 A^3/atom. As for the space group: P4/mmm (123).

---

It is <A> that is most stable; the runner-up trails by 13 meV/atom.

---

<A>
Entry from Alexandria via LeMat-Bulk: UNbFe after structural relaxation (GGA-PBE).

Unit cell a=3.343 b=3.343 c=5.088 alpha=109.18 beta=109.18 gamma=90.00
Positions (direct):
Nb1 0.945 0.945 0.890
U1 0.645 0.645 0.289
Fe1 0.260 0.260 0.521

Values from the calculation:
As for the size of the total moment: 0.0000 μB per atom. As for the volume: 16.79 A^3/atom. As for the space group: I4mm (107).

---

<B>
Entry from Alexandria via LeMat-Bulk: UNbFe after structural relaxation (GGA-PBE).

Unit cell a=4.846 b=10.173 c=2.782 alpha=109.60 beta=87.52 gamma=53.95
Positions (direct):
Fe1 0.228 0.127 0.000
Fe2 0.772 0.873 0.000
Nb1 0.672 0.177 0.558
Nb2 0.328 0.823 0.442
U1 0.857 0.416 0.186
U2 0.143 0.584 0.814

Values from the calculation:
As for the size of the total moment: 0.0000 μB per atom. As for the volume: 16.52 A^3/atom. As for the space group: P-1 (2).

---

It is <B> that is most stable; the runner-up trails by 168 meV/atom.